Below is LaAl2Rh after structural relaxation, with properties calculated at the GGA-PBE level.

The calculated density comes out at 6.00 g/cm³. The calculated total energy comes out at -5.345 eV/atom. As for the total magnetization: 0.00 Bohr magnetons per cell.

The structure belongs to space group Immm (No. 71); the cell edges are 3.032, 5.241 and 10.303 Å and the angles 90.00°, 90.00° and 90.00°. The inequivalent atoms are La at (0.000, 0.000, 0.000), Al at (0.000, 0.500, 0.207) and Rh at (0.000, 0.000, 0.500).